No. 1
This record from the Alexandria database describes an optimized crystal structure of KCr3. The functional is PBE-GGA.

Unit cell a=6.1306 b=6.1306 c=6.1306 alpha=117.29 beta=117.29 gamma=117.29
Last column: nearest neighbours and their distance in Å.
Atoms (fractional coordinates):
1 K 0.0000 0.0000 0.0000  2 K 3.06, 6 Cr 3.19
2 Cr 0.0000 0.5000 0.5000  6 Cr 3.06-3.19, 2 K 3.19
3 Cr 0.5000 0.0000 0.5000  6 Cr 3.06-3.19, 2 K 3.19
4 Cr 0.5000 0.5000 0.0000  6 Cr 3.06-3.19, 2 K 3.19

Calculated values
energy of formation from the pure elements = 1.63 eV per atom
spin magnetization = 13.9 μB per formula unit
theoretical density = 3.34 g cm⁻³
electronic total energy = -5.861 eV per atom

---

No. 2
This record from the Alexandria database describes an optimized crystal structure of MnPOs2. The functional is PBE-GGA.

Unit cell a=3.7701 b=5.2371 c=5.2371 alpha=30.62 beta=90.00 gamma=90.00
Last column: nearest neighbours and their distance in Å.
Atoms (fractional coordinates):
1 Mn 0.0000 0.0000 0.0000  4 P 2.49, 7 Os 2.71-2.73, 2 Mn 2.77
2 P 0.5000 0.4141 0.4141  3 Os 2.27-2.38, 4 Mn 2.49
3 Os 0.0000 0.2698 0.2698  2 P 2.38
4 Os 0.5000 0.6388 0.6388  1 P 2.27

Calculated values
energy of formation from the pure elements = -0.05 eV per atom
spin magnetization = 1.3 μB per formula unit
theoretical density = 14.70 g cm⁻³
electronic total energy = -9.306 eV per atom